The following is a DFT calculation (PBE) of a relaxed AcNbN2O crystal.

Cell lengths 4.1212, 4.1212, 4.2514 Å; angles 90.00, 90.00, 90.00 degrees
Element x y z (fractional)
Ac 0.0000 0.0000 0.0000
Nb 0.5000 0.5000 0.4559
N 0.0000 0.5000 0.3858
N 0.5000 0.0000 0.3858
O 0.5000 0.5000 0.9127

Values from the calculation:
For the total energy, the calculation gives -8.8826 eV/atom. The value obtained for the uncorrected formation energy is -1.725 eV/atom. The calculation puts the mass density at 8.37 g/cm3.



The following is a DFT calculation (PBE) of a relaxed In4IrPd crystal.

Cell lengths 4.6834, 4.6834, 6.1201 Å; angles 90.00, 90.00, 90.00 degrees
Element x y z (fractional)
In 0.0000 0.5000 0.2468
In 0.0000 0.5000 0.7532
In 0.5000 0.0000 0.2468
In 0.5000 0.0000 0.7532
Ir 0.0000 0.0000 0.0000
Pd 0.0000 0.0000 0.5000

Values from the calculation:
For the total energy, the calculation gives -4.3545 eV/atom. The calculation puts the formation energy at -187 meV per atom. The calculation puts the mass density at 9.38 g/cm3.